VASP calculation (GGA-PBE) on TlZnPO2 after structural relaxation.

abc: 4.0896 4.0896 5.6164
angles: 90.00 90.00 90.00
With the nearest neighbours (Å) after each atom.
Space group P4/mmm (No. 123)
Inequivalent atoms, fractional coordinates:
Tl1 0.0000 0.0000 0.0000 x1  4 O 2.04
Zn1 0.5000 0.5000 0.5000 x1  4 P 2.89
P1 0.0000 0.0000 0.5000 x1  2 Tl 2.81, 4 Zn 2.89
O1 0.0000 0.5000 0.0000 x2  2 Tl 2.04

Output
raw formation energy = 2.73 eV/f.u.
calculated density = 5882 kg/m³
distance to the lowest polymorph of the same formula = 46.0 kJ per mole of atoms

VASP calculation (GGA-PBE) on Rb2CuNiBr6 after structural relaxation.

abc: 7.4378 7.4378 10.3819
angles: 90.00 90.00 90.00
With the nearest neighbours (Å) after each atom.
Space group I4/mmm (No. 139)
Inequivalent atoms, fractional coordinates:
Rb1 0.0000 0.5000 0.2500 x4  12 Br 3.70-3.72
Cu1 0.0000 0.0000 0.0000 x2  2 Br 2.38
Ni1 0.0000 0.0000 0.5000 x2  4 Br 2.43
Br1 0.0000 0.0000 0.2297 x4  1 Cu 2.38
Br2 0.2310 0.2310 0.5000 x8  1 Ni 2.43

Output
raw formation energy = -8.66 eV/f.u.
calculated density = 4467 kg/m³

VASP calculation (GGA-PBE) on Er2In2PRh4 after structural relaxation.

abc: 6.2758 6.2758 8.7254
angles: 90.00 90.00 90.00
With the nearest neighbours (Å) after each atom.
Space group I4/mmm (No. 139)
Inequivalent atoms, fractional coordinates:
Er1 0.0000 0.0000 0.1985 x4  1 P 2.63, 4 Rh 2.78
In1 0.0000 0.5000 0.2500 x4  8 Rh 3.11, 4 Er 3.17
P1 0.0000 0.0000 0.5000 x2  4 Rh 2.27
Rh1 0.2445 0.2445 0.0000 x8  1 P 2.27

Output
calculated density = 9729 kg/m³
energy of formation from the pure elements = -4.83 eV/f.u.

VASP calculation (GGA-PBE) on AcLaCuO4 after structural relaxation.

abc: 3.8396 3.8396 13.5266
angles: 90.00 90.00 90.00
With the nearest neighbours (Å) after each atom.
Space group I4mm (No. 107)
Inequivalent atoms, fractional coordinates:
Ac1 0.0000 0.0000 0.0000 x2  5 O 2.43-2.72
La1 0.0000 0.0000 0.7232 x2  1 O 2.35
Cu1 0.0000 0.0000 0.3536 x2  4 O 1.92
O1 0.0000 0.0000 0.1800 x2  1 Cu 2.35, 1 Ac 2.43
O2 0.0000 0.0000 0.5493 x2  1 La 2.35
O3 0.0000 0.5000 0.3575 x4  2 Cu 1.92

Output
raw formation energy = -17.87 eV/f.u.
calculated density = 8218 kg/m³

VASP calculation (GGA-PBE) on SrPuMgO6 after structural relaxation.

abc: 5.4379 5.4379 10.6746
angles: 90.00 90.00 120.00
With the nearest neighbours (Å) after each atom.
Space group P-31c (No. 163)
Inequivalent atoms, fractional coordinates:
Sr1 0.0000 0.0000 0.0000 x2  6 O 2.56
Pu1 0.3333 0.6667 0.2500 x2  6 O 1.98
Mg1 0.3333 0.6667 0.7500 x2  6 O 2.10
O1 0.0172 0.3795 0.1471 x12  1 Pu 1.98, 1 Mg 2.10

Output
raw formation energy = -21.89 eV/f.u.
calculated density = 5490 kg/m³

VASP calculation (GGA-PBE) on TbTaOs after structural relaxation.

abc: 4.4619 4.4619 6.7195
angles: 90.00 90.00 90.00
With the nearest neighbours (Å) after each atom.
Space group P4/nmm (No. 129, origin choice 2)
Inequivalent atoms, fractional coordinates:
Tb1 0.2500 0.2500 0.1425 x2  5 Os 2.97-3.33, 4 Ta 3.28
Ta1 0.2500 0.7500 0.5000 x2  4 Os 2.60
Os1 0.2500 0.2500 0.6998 x2  4 Ta 2.60

Output
calculated density = 13160 kg/m³
energy of formation from the pure elements = -0.70 eV/f.u.

VASP calculation (GGA-PBE) on Li7Ag12Sn after structural relaxation.

abc: 10.2284 10.2284 12.3213
angles: 90.00 90.00 120.00
With the nearest neighbours (Å) after each atom.
Space group R-3 (No. 148, hexagonal axes)
Inequivalent atoms, fractional coordinates:
Li1 0.0000 0.0000 0.0000 x3  6 Ag 2.50
Li2 0.0208 0.1925 0.3078 x18  6 Ag 2.78-2.96, 1 Li 3.00, 1 Sn 3.02
Ag1 0.0186 0.4446 0.1976 x18  6 Ag 2.80-2.98, 1 Sn 2.89, 4 Li 2.92-2.96
Ag2 0.0741 0.8227 0.9194 x18  2 Li 2.50-2.78, 1 Ag 2.78
Sn1 0.0000 0.0000 0.5000 x3  6 Ag 2.89, 6 Li 3.02

Output
calculated density = 6523 kg/m³
energy of formation from the pure elements = -2.15 eV/f.u.

VASP calculation (GGA-PBE) on AcMg5Au3 after structural relaxation.

abc: 4.3336 14.4325 13.3640
angles: 90.00 90.00 90.00
With the nearest neighbours (Å) after each atom.
Space group Cmcm (No. 63)
Inequivalent atoms, fractional coordinates:
Ac1 0.0000 0.1696 0.2500 x4  6 Au 3.42-3.56
Mg1 0.0000 0.0000 0.0000 x4  4 Au 2.85, 6 Mg 2.95-3.02
Mg2 0.0000 0.1977 0.5558 x8  4 Au 2.69-2.92, 1 Mg 2.95
Mg3 0.0000 0.4388 0.1434 x8  4 Au 2.79-2.84, 3 Mg 2.85-3.02
Au1 0.0000 0.1343 0.7500 x4  6 Mg 2.75-2.80
Au2 0.0000 0.3841 0.5604 x8  7 Mg 2.69-2.92

Output
calculated density = 7465 kg/m³
energy of formation from the pure elements = -4.74 eV/f.u.

VASP calculation (GGA-PBE) on Ac3Pd4Pb7 after structural relaxation.

abc: 18.1591 4.7638 10.7036
angles: 90.00 125.06 90.00
With the nearest neighbours (Å) after each atom.
Space group C2/m (No. 12)
Inequivalent atoms, fractional coordinates:
Ac1 0.0000 0.0000 0.0000 x2  6 Pd 3.44-3.54, 6 Pb 3.79
Ac2 0.1856 0.5000 0.6975 x4  4 Pd 3.42-3.57, 10 Pb 3.44-3.71
Pd1 0.1236 0.0000 0.8490 x4  6 Pb 2.88-3.07
Pd2 0.1563 0.5000 0.2652 x4  5 Pb 2.77-2.97
Pb1 0.0000 0.0000 0.5000 x2  2 Pd 3.06, 4 Pb 3.39
Pb2 0.0062 0.5000 0.2813 x4  3 Pd 2.83-3.07, 1 Pb 3.12
Pb3 0.1684 0.0000 0.4302 x4  3 Pd 2.90-2.97
Pb4 0.1810 0.5000 0.0326 x4  4 Pd 2.77-3.00

Output
calculated density = 11205 kg/m³
energy of formation from the pure elements = -7.20 eV/f.u.

VASP calculation (GGA-PBE) on Tb2CuGe3Ir4 after structural relaxation.

abc: 4.1518 4.1518 10.3884
angles: 90.00 90.00 90.00
With the nearest neighbours (Å) after each atom.
Space group P-4m2 (No. 115)
Inequivalent atoms, fractional coordinates:
Tb1 0.0000 0.5000 0.2477 x2  8 Ir 3.16-3.34, 6 Ge 3.19-3.31, 2 Cu 3.31
Cu1 0.5000 0.5000 0.0000 x1  4 Ir 2.51
Ge1 0.0000 0.0000 0.0000 x1  4 Ir 2.51
Ge2 0.0000 0.5000 0.6317 x2  5 Ir 2.42-2.49
Ir1 0.0000 0.0000 0.5000 x1  4 Ge 2.49
Ir2 0.0000 0.5000 0.8646 x2  3 Ge 2.42-2.51, 2 Cu 2.51
Ir3 0.5000 0.5000 0.5000 x1  4 Ge 2.49

Output
calculated density = 12687 kg/m³
energy of formation from the pure elements = -6.82 eV/f.u.

VASP calculation (GGA-PBE) on TlSnBrF2 after structural relaxation.

abc: 4.4406 4.4406 6.2061
angles: 90.00 90.00 90.00
With the nearest neighbours (Å) after each atom.
Space group P4/mmm (No. 123)
Inequivalent atoms, fractional coordinates:
Tl1 0.0000 0.0000 0.0000 x1  2 Sn 3.10, 4 Br 3.14
Sn1 0.0000 0.0000 0.5000 x1  4 F 2.22
Br1 0.5000 0.5000 0.0000 x1  4 Tl 3.14
F1 0.0000 0.5000 0.5000 x2  2 Sn 2.22

Output
raw formation energy = -7.43 eV/f.u.
calculated density = 5984 kg/m³
distance to the lowest polymorph of the same formula = 20.4 kJ per mole of atoms

VASP calculation (GGA-PBE) on CaErZnAg after structural relaxation.

abc: 3.6329 3.6329 7.2424
angles: 90.00 90.00 90.00
With the nearest neighbours (Å) after each atom.
Space group P4mm (No. 99)
Inequivalent atoms, fractional coordinates:
Ca1 0.0000 0.0000 0.0000 x1  4 Zn 3.21, 4 Ag 3.26, 1 Er 3.53
Er1 0.0000 0.0000 0.4878 x1  4 Zn 3.03, 4 Ag 3.08
Zn1 0.5000 0.5000 0.2666 x1  4 Er 3.03, 4 Ca 3.21, 1 Ag 3.30
Ag1 0.5000 0.5000 0.7224 x1  4 Er 3.08, 4 Ca 3.26, 1 Zn 3.30

Output
calculated density = 6612 kg/m³
energy of formation from the pure elements = -1.24 eV/f.u.
distance to the lowest polymorph of the same formula = 0.0 kJ per mole of atoms

VASP calculation (GGA-PBE) on RbLaSiTe after structural relaxation.

abc: 4.1204 4.2878 7.7812
angles: 88.66 89.52 89.98
With the nearest neighbours (Å) after each atom.
Space group P1 (No. 1)
Inequivalent atoms, fractional coordinates:
Rb1 0.0000 0.0000 0.0000 x1  1 La 3.61, 3 Si 3.83-4.03, 4 Te 3.84-3.85
La1 0.9897 0.9741 0.5363 x1  4 Si 3.13-3.14, 4 Te 3.44-3.45
Si1 0.4886 0.4707 0.6639 x1  1 Te 2.73
Te1 0.4938 0.4845 0.3135 x1  1 Si 2.73

Output
raw formation energy = -2.50 eV/f.u.
calculated density = 4592 kg/m³
distance to the lowest polymorph of the same formula = 0.4 kJ per mole of atoms

VASP calculation (GGA-PBE) on TbDy2HgC after structural relaxation.

abc: 4.8931 4.8931 4.9447
angles: 90.00 90.00 90.00
With the nearest neighbours (Å) after each atom.
Space group P4/mmm (No. 123)
Inequivalent atoms, fractional coordinates:
Tb1 0.0000 0.0000 0.0000 x1  2 C 2.47
Dy1 0.0000 0.5000 0.5000 x2  2 C 2.45
Hg1 0.5000 0.5000 0.0000 x1  4 Tb 3.46, 8 Dy 3.48
C1 0.0000 0.0000 0.5000 x1  4 Dy 2.45, 2 Tb 2.47

Output
calculated density = 9770 kg/m³
energy of formation from the pure elements = -1.80 eV/f.u.

VASP calculation (GGA-PBE) on CsSnS2Cl after structural relaxation.

abc: 5.0867 5.0867 5.6677
angles: 90.00 90.00 90.00
With the nearest neighbours (Å) after each atom.
Space group P4/mmm (No. 123)
Inequivalent atoms, fractional coordinates:
Cs1 0.0000 0.0000 0.0000 x1  4 Cl 3.60, 8 S 3.81
Sn1 0.5000 0.5000 0.5000 x1  4 S 2.54, 2 Cl 2.83
S1 0.0000 0.5000 0.5000 x2  2 Sn 2.54
Cl1 0.5000 0.5000 0.0000 x1  2 Sn 2.83

Output
raw formation energy = -3.70 eV/f.u.
calculated density = 3977 kg/m³
distance to the lowest polymorph of the same formula = 0.0 kJ per mole of atoms

VASP calculation (GGA-PBE) on OsRh2Au after structural relaxation.

abc: 2.7609 2.7609 7.9363
angles: 90.00 90.00 90.00
With the nearest neighbours (Å) after each atom.
Space group P4mm (No. 99)
Inequivalent atoms, fractional coordinates:
Os1 0.0000 0.0000 0.0000 x1  4 Rh 2.65, 4 Os 2.76, 4 Au 2.88
Rh1 0.0000 0.0000 0.4705 x1  8 Rh 2.76, 4 Au 2.86
Rh2 0.5000 0.5000 0.2253 x1  4 Os 2.65, 8 Rh 2.76
Au1 0.5000 0.5000 0.7332 x1  4 Au 2.76, 4 Rh 2.86, 4 Os 2.88

Output
calculated density = 16277 kg/m³
energy of formation from the pure elements = 1.06 eV/f.u.
distance to the lowest polymorph of the same formula = 19.2 kJ per mole of atoms

VASP calculation (GGA-PBE) on Y2TlIr after structural relaxation.

abc: 6.8381 3.9544 8.4442
angles: 90.00 105.80 90.00
With the nearest neighbours (Å) after each atom.
Space group C2/m (No. 12)
Inequivalent atoms, fractional coordinates:
Y1 0.2323 0.0000 0.1959 x4  3 Ir 2.78
Tl1 0.0000 0.0000 0.5000 x2  6 Y 3.36-3.37
Ir1 0.0000 0.5000 0.0000 x2  6 Y 2.78

Output
calculated density = 8682 kg/m³
energy of formation from the pure elements = -2.03 eV/f.u.
distance to the lowest polymorph of the same formula = 9.6 kJ per mole of atoms

VASP calculation (GGA-PBE) on RbThSb2Au2 after structural relaxation.

abc: 4.6773 4.6773 9.7841
angles: 90.00 90.00 120.00
With the nearest neighbours (Å) after each atom.
Space group P-3m1 (No. 164)
Inequivalent atoms, fractional coordinates:
Rb1 0.0000 0.0000 0.0000 x1  6 Sb 3.80, 6 Au 4.21
Th1 0.0000 0.0000 0.5000 x1  6 Au 3.17, 6 Sb 3.50
Sb1 0.3333 0.6667 0.7271 x2  3 Au 2.76
Au1 0.3333 0.6667 0.3297 x2  3 Sb 2.76

Output
raw formation energy = -3.95 eV/f.u.
calculated density = 8554 kg/m³

VASP calculation (GGA-PBE) on LiLaNdEu after structural relaxation.

abc: 8.1240 8.1240 8.1240
angles: 90.00 90.00 90.00
With the nearest neighbours (Å) after each atom.
Space group F-43m (No. 216)
Inequivalent atoms, fractional coordinates:
Li1 0.0000 0.0000 0.0000 x4  4 Nd 3.52, 4 La 3.52
La1 0.2500 0.2500 0.2500 x4  4 Li 3.52, 4 Eu 3.52
Nd1 0.2500 0.2500 0.7500 x4  4 Li 3.52, 4 Eu 3.52
Eu1 0.0000 0.0000 0.5000 x4  4 La 3.52, 4 Nd 3.52

Output
calculated density = 5476 kg/m³
energy of formation from the pure elements = 0.75 eV/f.u.

VASP calculation (GGA-PBE) on ThHRh after structural relaxation.

abc: 3.9439 3.9439 7.2062
angles: 90.00 90.00 90.00
With the nearest neighbours (Å) after each atom.
Space group I4mm (No. 107)
Inequivalent atoms, fractional coordinates:
Th1 0.0000 0.0000 0.0000 x2  1 H 2.30
H1 0.0000 0.0000 0.3198 x2  1 Rh 1.64
Rh1 0.0000 0.0000 0.5479 x2  1 H 1.64

Output
calculated density = 9954 kg/m³
distance to the lowest polymorph of the same formula = 17.0 kJ per mole of atoms

VASP calculation (GGA-PBE) on LiYSn after structural relaxation.

abc: 9.3774 9.3774 7.3313
angles: 90.00 90.00 120.00
With the nearest neighbours (Å) after each atom.
Space group P6_3mc (No. 186)
Inequivalent atoms, fractional coordinates:
Li1 0.1667 0.3334 0.0000 x6  3 Sn 2.71-2.74
Li2 0.3333 0.6667 0.6057 x2  4 Sn 2.73-3.06
Y1 0.0000 0.0000 0.2859 x2  6 Li 3.13-3.42, 6 Sn 3.20-3.35
Y2 0.0225 0.5112 0.2911 x6  6 Li 3.19-3.42, 6 Sn 3.20-3.35
Sn1 0.1667 0.3335 0.5542 x6  3 Li 2.73-2.74
Sn2 0.3333 0.6667 0.0228 x2  3 Li 2.71

Output
calculated density = 5105 kg/m³
energy of formation from the pure elements = -2.04 eV/f.u.

What raw total energy values result from the calculations? In sequence: -3.247, -3.051, -6.027, -7.262, -7.694, -9.470, -2.688, -2.962, -4.732, -6.947, -3.843, -2.982, -4.240, -5.031, -3.732, -7.038, -6.545, -4.522, -5.283, -6.533, -4.808 eV/atom.